! HfSc3N PBE-GGA relaxed; values from VASP
! SG: Pm-3m (221)
! Uncorrected formation energy, eV per atom: 1.82
&SYSTEM
  ibrav = 0, nat = 5, ntyp = 3
/
ATOMIC_SPECIES
Hf 178.49 Hf.upf
Sc 44.96 Sc.upf
N 14.01 N.upf
ATOMIC_POSITIONS crystal
Hf 0.000 0.000 0.000
Sc 0.000 0.000 0.500
Sc 0.000 0.500 0.000
N 0.500 0.500 0.500
Sc 0.500 0.000 0.000
CELL_PARAMETERS angstrom
5.078 0.000 0.000
0.000 5.078 0.000
0.000 0.000 5.078